# ZnNi2Pt4 PBE-GGA relaxed
# Energy relative to the elements ... -50 meV per atom
# DOS(E_F) ... 21.7 states/eV/cell
data_ZnNi2Pt4
_chemical_formula_sum 'Zn2 Ni4 Pt8'
_space_group_name_H-M_alt 'P 1 21/c 1'
_space_group_IT_number 14
_space_group_name_Hall '-P 2ybc'
_cell_length_a 4.6734
_cell_length_b 8.2970
_cell_length_c 5.5674
_cell_angle_alpha 90.00
_cell_angle_beta 91.30
_cell_angle_gamma 90.00
loop_
_atom_site_label
_atom_site_type_symbol
_atom_site_fract_x
_atom_site_fract_y
_atom_site_fract_z
_atom_site_occupancy
Zn1 Zn 0.0000 0.0000 0.0000 1
Ni1 Ni 0.2742 0.0060 0.6140 1
Pt1 Pt 0.0988 0.2246 0.3187 1
Pt2 Pt 0.4078 0.7325 0.4278 1